1.
Below is a geometry-optimized PaCdTc2O8 structure, with properties calculated at the GGA-PBE level.

abc: 6.112 6.112 8.308
angles: 90.00 90.00 120.00
Positions (direct):
Pa: 0.000 0.000 0.000
Cd: 0.000 0.000 0.500
Tc: 0.333 0.667 0.229
Tc: 0.667 0.333 0.771
O: 0.172 0.344 0.146
O: 0.172 0.828 0.146
O: 0.333 0.667 0.436
O: 0.344 0.172 0.854
O: 0.656 0.828 0.146
O: 0.667 0.333 0.564
O: 0.828 0.172 0.854
O: 0.828 0.656 0.854

Results
* uncorrected formation energy: -1719 meV/atom


2.
Below is a geometry-optimized ZnTc3Bi structure, with properties calculated at the GGA-PBE level.

abc: 4.604 4.604 4.604
angles: 90.00 90.00 90.00
Positions (direct):
Zn: 0.000 0.000 0.000
Tc: 0.000 0.000 0.500
Tc: 0.000 0.500 0.000
Tc: 0.500 0.000 0.000
Bi: 0.500 0.500 0.500

Results
* formation energy: 700 kJ/mol of formula units
* ΔE to the lowest computed polymorph: 0.0000 eV per atom


3.
Below is a geometry-optimized PmNp2MnN4 structure, with properties calculated at the GGA-PBE level.

abc: 5.970 5.970 11.306
angles: 90.00 90.00 147.06
Positions (direct):
Pm: 0.104 0.896 0.750
Pm: 0.896 0.104 0.250
Np: 0.369 0.631 0.555
Np: 0.369 0.631 0.945
Np: 0.631 0.369 0.055
Np: 0.631 0.369 0.445
Mn: 0.160 0.840 0.250
Mn: 0.840 0.160 0.750
N: 0.000 0.000 0.000
N: 0.000 0.000 0.500
N: 0.269 0.731 0.116
N: 0.269 0.731 0.384
N: 0.440 0.560 0.750
N: 0.560 0.440 0.250
N: 0.731 0.269 0.616
N: 0.731 0.269 0.884

Results
* uncorrected formation energy: -1046 meV/atom


4.
Below is a geometry-optimized GdDyPuCd structure, with properties calculated at the GGA-PBE level.

abc: 7.669 7.669 7.669
angles: 90.00 90.00 90.00
Positions (direct):
Gd: 0.000 0.000 0.000
Gd: 0.000 0.500 0.500
Gd: 0.500 0.000 0.500
Gd: 0.500 0.500 0.000
Dy: 0.000 0.000 0.500
Dy: 0.000 0.500 0.000
Dy: 0.500 0.000 0.000
Dy: 0.500 0.500 0.500
Pu: 0.250 0.250 0.250
Pu: 0.250 0.750 0.750
Pu: 0.750 0.250 0.750
Pu: 0.750 0.750 0.250
Cd: 0.250 0.250 0.750
Cd: 0.250 0.750 0.250
Cd: 0.750 0.250 0.250
Cd: 0.750 0.750 0.750

Results
* formation energy: 23 kJ/mol of formula units


5.
Below is a geometry-optimized Ti3HgAu structure, with properties calculated at the GGA-PBE level.

abc: 4.892 4.892 4.892
angles: 90.00 90.00 90.00
Positions (direct):
Ti: 0.000 0.000 0.500
Ti: 0.000 0.500 0.000
Ti: 0.500 0.000 0.000
Hg: 0.500 0.500 0.500
Au: 0.000 0.000 0.000

Results
* formation energy: 320 kJ/mol of formula units
* ΔE to the lowest computed polymorph: 0.0000 eV per atom


6.
Below is a geometry-optimized LaPrLuPb structure, with properties calculated at the GGA-PBE level.

abc: 7.976 7.976 7.976
angles: 90.00 90.00 90.00
Positions (direct):
La: 0.000 0.000 0.000
La: 0.000 0.500 0.500
La: 0.500 0.000 0.500
La: 0.500 0.500 0.000
Pr: 0.000 0.000 0.500
Pr: 0.000 0.500 0.000
Pr: 0.500 0.000 0.000
Pr: 0.500 0.500 0.500
Lu: 0.250 0.250 0.250
Lu: 0.250 0.750 0.750
Lu: 0.750 0.250 0.750
Lu: 0.750 0.750 0.250
Pb: 0.250 0.250 0.750
Pb: 0.250 0.750 0.250
Pb: 0.750 0.250 0.250
Pb: 0.750 0.750 0.750

Results
* formation energy: -64 kJ/mol of formula units


7.
Below is a geometry-optimized Tb2Pa3Co2 structure, with properties calculated at the GGA-PBE level.

abc: 11.241 3.575 8.619
angles: 90.00 111.19 90.00
Positions (direct):
Tb: 0.164 0.000 0.295
Tb: 0.336 0.500 0.705
Tb: 0.664 0.500 0.295
Tb: 0.836 0.000 0.705
Pa: 0.000 0.500 0.500
Pa: 0.124 0.500 0.935
Pa: 0.376 0.000 0.065
Pa: 0.500 0.000 0.500
Pa: 0.624 0.000 0.935
Pa: 0.876 0.500 0.065
Co: 0.114 0.000 0.713
Co: 0.386 0.500 0.287
Co: 0.614 0.500 0.713
Co: 0.886 0.000 0.287

Results
* formation energy: -140 kJ/mol of formula units


8.
Below is a geometry-optimized NaCdAu2F8 structure, with properties calculated at the GGA-PBE level.

abc: 6.353 6.353 6.353
angles: 110.86 110.86 106.72
Positions (direct):
Na: 0.000 0.000 0.000
Cd: 0.250 0.750 0.500
Au: 0.500 0.500 0.000
Au: 0.750 0.250 0.500
F: 0.282 0.098 0.816
F: 0.282 0.466 0.184
F: 0.353 0.029 0.325
F: 0.534 0.718 0.816
F: 0.704 0.029 0.675
F: 0.902 0.718 0.184
F: 0.971 0.296 0.325
F: 0.971 0.647 0.675

Results
* uncorrected formation energy: -1354 meV/atom


9.
Below is a geometry-optimized NdPu2ZrAs4 structure, with properties calculated at the GGA-PBE level.

abc: 7.068 4.097 7.131
angles: 90.00 109.34 90.00
Positions (direct):
Nd: 0.000 0.000 0.000
Pu: 0.500 0.000 0.500
Pu: 0.500 0.500 0.000
Zr: 0.000 0.500 0.500
As: 0.243 0.000 0.735
As: 0.252 0.500 0.264
As: 0.748 0.500 0.736
As: 0.757 0.000 0.265

Results
* formation energy: -907 kJ/mol of formula units


10.
Below is a geometry-optimized SrLa2Pr3Te6 structure, with properties calculated at the GGA-PBE level.

abc: 10.231 10.231 9.200
angles: 102.97 102.97 25.73
Positions (direct):
Sr: 0.000 0.000 0.000
La: 0.331 0.331 0.663
La: 0.669 0.669 0.337
Pr: 0.000 0.000 0.500
Pr: 0.334 0.334 0.174
Pr: 0.666 0.666 0.826
Te: 0.165 0.165 0.582
Te: 0.168 0.168 0.080
Te: 0.499 0.499 0.747
Te: 0.501 0.501 0.253
Te: 0.832 0.832 0.920
Te: 0.835 0.835 0.418

Results
* uncorrected formation energy: -1535 meV/atom


| no. | VASP energy (eV/atom) | N(E_F) (states/eV/atom) | total magnetization (μB/atom) |
| --- | --- | --- | --- |
| 1 | -7.62 | 0.450 | 0.2543 |
| 2 | -5.80 | 1.058 | 0.6778 |
| 3 | -10.18 | 1.003 | 0.3520 |
| 4 | -8.42 | 3.700 | 3.5205 |
| 5 | -4.79 | 1.566 | 0.0000 |
| 6 | -4.65 | 1.731 | 0.0001 |
| 7 | -7.63 | 1.205 | 0.0000 |
| 8 | -3.33 | 0.439 | 0.2519 |
| 9 | -8.75 | 2.664 | 1.3005 |
| 10 | -5.26 | 0.537 | 0.0000 |